# Ti5Zn2Re (PBE, relaxed)
data_Ti5Zn2Re
_cell_length_a 6.8995
_cell_length_b 6.8995
_cell_length_c 6.8995
_cell_angle_alpha 141.45
_cell_angle_beta 141.45
_cell_angle_gamma 55.66
_symmetry_space_group_name_H-M 'P 1'
_symmetry_Int_Tables_number 1
loop_
_symmetry_equiv_pos_as_xyz
'x,y,z'
loop_
_atom_site_label
_atom_site_type_symbol
_atom_site_fract_x
_atom_site_fract_y
_atom_site_fract_z
Ti1 Ti 0.0000 0.0000 0.0000
Ti2 Ti 0.1206 0.6206 0.5000
Ti3 Ti 0.3794 0.8794 0.5000
Ti4 Ti 0.6206 0.1206 0.5000
Ti5 Ti 0.8794 0.3794 0.5000
Zn1 Zn 0.2486 0.2486 0.0000
Zn2 Zn 0.7514 0.7514 0.0000
Re1 Re 0.5000 0.5000 0.0000
# **Calculated total energy**: -7.021 eV per atom
# **E_form**: -1.70 eV per formula unit
# **Crystal system**: tetragonal